# TlTcP2 PBEsol relaxed
# - energy of formation (eV/atom) = 0.06
# - DOS at the Fermi energy (states/eV/atom) = 0.23
# - excess energy over the best structure of this formula in the dataset (eV/atom) = 0.072
data_TlTcP2
_chemical_formula_sum 'Tl1 Tc1 P2'
_cell_length_a 3.9285
_cell_length_b 3.1349
_cell_length_c 6.2138
_cell_angle_alpha 90.00
_cell_angle_beta 108.07
_cell_angle_gamma 90.00
_space_group_name_H-M_alt 'P 1 m 1'
_space_group_IT_number 6
_space_group_name_Hall 'P -2y'
loop_
_atom_site_label
_atom_site_type_symbol
_atom_site_fract_x
_atom_site_fract_y
_atom_site_fract_z
Tl1 Tl 0.0000 0.0000 0.0000
Tc1 Tc 0.3755 0.5000 0.7390
P1 P 0.3773 0.0000 0.4510
P2 P 0.7943 0.5000 0.5128


# CaReH4ClO6 PBEsol relaxed
# - DOS at the Fermi energy (states/eV/atom) = 0.00
data_CaReH4ClO6
_chemical_formula_sum 'Ca4 Re4 H16 Cl4 O24'
_cell_length_a 6.9897
_cell_length_b 14.2607
_cell_length_c 6.6043
_cell_angle_alpha 90.00
_cell_angle_beta 90.00
_cell_angle_gamma 90.00
_space_group_name_H-M_alt 'C m c m'
_space_group_IT_number 63
_space_group_name_Hall '-C 2c 2'
loop_
_atom_site_label
_atom_site_type_symbol
_atom_site_fract_x
_atom_site_fract_y
_atom_site_fract_z
Ca1 Ca 0.0000 0.0880 0.2500
Re1 Re 0.0000 0.2583 0.7500
H1 H 0.2051 0.4556 0.0694
Cl1 Cl 0.0000 0.3888 0.2500
O1 O 0.0000 0.1854 0.5385
O2 O 0.2017 0.3296 0.7500
O3 O 0.2049 0.0000 0.0000


# NaY2CdC PBEsol relaxed
# - energy of formation (eV/atom) = 1.66
# - DOS at the Fermi energy (states/eV/atom) = 1.39
data_NaY2CdC
_chemical_formula_sum 'Na1 Y2 Cd1 C1'
_cell_length_a 5.5354
_cell_length_b 5.5354
_cell_length_c 4.9419
_cell_angle_alpha 90.00
_cell_angle_beta 90.00
_cell_angle_gamma 90.00
_space_group_name_H-M_alt 'P 4/m m m'
_space_group_IT_number 123
_space_group_name_Hall '-P 4 2'
loop_
_atom_site_label
_atom_site_type_symbol
_atom_site_fract_x
_atom_site_fract_y
_atom_site_fract_z
Na1 Na 0.0000 0.0000 0.0000
Y1 Y 0.0000 0.5000 0.5000
Cd1 Cd 0.0000 0.0000 0.5000
C1 C 0.5000 0.5000 0.0000


# PdWSeBr2 PBEsol relaxed
# - raw formation energy (meV/atom) = 669
# - DOS at the Fermi energy (states/eV/atom) = 0.67
data_PdWSeBr2
_chemical_formula_sum 'Pd1 W1 Se1 Br2'
_cell_length_a 5.0048
_cell_length_b 5.0048
_cell_length_c 4.7886
_cell_angle_alpha 90.00
_cell_angle_beta 90.00
_cell_angle_gamma 90.00
_space_group_name_H-M_alt 'P 4/m m m'
_space_group_IT_number 123
_space_group_name_Hall '-P 4 2'
loop_
_atom_site_label
_atom_site_type_symbol
_atom_site_fract_x
_atom_site_fract_y
_atom_site_fract_z
Pd1 Pd 0.0000 0.0000 0.0000
W1 W 0.5000 0.5000 0.5000
Se1 Se 0.5000 0.5000 0.0000
Br1 Br 0.0000 0.5000 0.5000


# Li2MgCd PBEsol relaxed
# - energy of formation (eV/atom) = -0.17
# - DOS at the Fermi energy (states/eV/atom) = 0.36
# - excess energy over the best structure of this formula in the dataset (eV/atom) = 0.025
data_Li2MgCd
_chemical_formula_sum 'Li2 Mg1 Cd1'
_cell_length_a 4.4783
_cell_length_b 4.4783
_cell_length_c 3.6364
_cell_angle_alpha 90.00
_cell_angle_beta 90.00
_cell_angle_gamma 90.00
_space_group_name_H-M_alt 'P 4/m m m'
_space_group_IT_number 123
_space_group_name_Hall '-P 4 2'
loop_
_atom_site_label
_atom_site_type_symbol
_atom_site_fract_x
_atom_site_fract_y
_atom_site_fract_z
Li1 Li 0.0000 0.5000 0.0000
Mg1 Mg 0.0000 0.0000 0.5000
Cd1 Cd 0.5000 0.5000 0.5000


# SnSbSeN2 PBEsol relaxed
# - raw formation energy (meV/atom) = 880
# - DOS at the Fermi energy (states/eV/atom) = 0.54
data_SnSbSeN2
_chemical_formula_sum 'Sn1 Sb1 Se1 N2'
_cell_length_a 4.0840
_cell_length_b 4.0840
_cell_length_c 5.3600
_cell_angle_alpha 90.00
_cell_angle_beta 90.00
_cell_angle_gamma 90.00
_space_group_name_H-M_alt 'P 4/m m m'
_space_group_IT_number 123
_space_group_name_Hall '-P 4 2'
loop_
_atom_site_label
_atom_site_type_symbol
_atom_site_fract_x
_atom_site_fract_y
_atom_site_fract_z
Sn1 Sn 0.0000 0.0000 0.0000
Sb1 Sb 0.5000 0.5000 0.5000
Se1 Se 0.5000 0.5000 0.0000
N1 N 0.0000 0.5000 0.5000


Raw total energy per entry: -25.22 -331.79 -17.60 -24.01 -7.52 -25.32 eV per cell
Magnetic moment per entry: 0.00 0.09 0.00 0.00 0.00 0.00 μB per formula unit